No. 1
Entry from the Alexandria database: an optimized crystal structure of ZrTi2Nb (PBE).

```
data_ZrTi2Nb
_chemical_formula_sum 'Zr4 Ti8 Nb4'
_cell_length_a 7.325
_cell_length_b 7.325
_cell_length_c 5.759
_cell_angle_alpha 90.00
_cell_angle_beta 90.00
_cell_angle_gamma 90.00
_symmetry_space_group_name_H-M 'I -4 2 d'
_symmetry_Int_Tables_number 122
_symmetry_space_group_name_Hall 'I -4 2bw'
loop_
_atom_site_label
_atom_site_fract_x
_atom_site_fract_y
_atom_site_fract_z
Zr1 0.000 0.000 0.000
Ti1 0.237 0.250 0.625
Nb1 0.000 0.000 0.500
```

=====

No. 2
Entry from the Alexandria database: an optimized crystal structure of ZrTi2Nb (PBE).

```
data_ZrTi2Nb
_chemical_formula_sum 'Zr1 Ti2 Nb1'
_cell_length_a 3.340
_cell_length_b 3.340
_cell_length_c 6.766
_cell_angle_alpha 90.00
_cell_angle_beta 90.00
_cell_angle_gamma 90.00
_symmetry_space_group_name_H-M 'P 4/m m m'
_symmetry_Int_Tables_number 123
_symmetry_space_group_name_Hall '-P 4 2'
loop_
_atom_site_label
_atom_site_fract_x
_atom_site_fract_y
_atom_site_fract_z
Zr1 0.000 0.000 0.000
Ti1 0.500 0.500 0.282
Nb1 0.000 0.000 0.500
```

=====

No. 3
Entry from the Alexandria database: an optimized crystal structure of ZrTi2Nb6 (PBE).

```
data_ZrTi2Nb6
_chemical_formula_sum 'Zr1 Ti2 Nb6'
_cell_length_a 4.679
_cell_length_b 5.503
_cell_length_c 7.326
_cell_angle_alpha 101.91
_cell_angle_beta 90.27
_cell_angle_gamma 115.15
_symmetry_space_group_name_H-M 'P -1'
_symmetry_Int_Tables_number 2
_symmetry_space_group_name_Hall '-P 1'
loop_
_atom_site_label
_atom_site_fract_x
_atom_site_fract_y
_atom_site_fract_z
Zr1 0.000 0.000 0.000
Ti1 0.115 0.230 0.660
Nb1 0.222 0.444 0.339
Nb2 0.326 0.651 0.008
Nb3 0.437 0.874 0.661
```

=====

No. 4
# ZrTiNb2 PBE relaxed
# Polymorph energy (0 for the lowest one): 0.000 eV per atom
data_ZrTiNb2
_chemical_formula_sum 'Zr1 Ti1 Nb2'
_cell_length_a 3.352
_cell_length_b 3.352
_cell_length_c 6.845
_cell_angle_alpha 90.00
_cell_angle_beta 90.00
_cell_angle_gamma 90.00
_symmetry_space_group_name_H-M 'P 4 m m'
_symmetry_Int_Tables_number 99
_symmetry_space_group_name_Hall 'P 4 -2'
loop_
_atom_site_label
_atom_site_fract_x
_atom_site_fract_y
_atom_site_fract_z
Zr1 0.000 0.000 0.000
Ti1 0.500 0.500 0.281
Nb1 0.000 0.000 0.505
Nb2 0.500 0.500 0.727

=====

No. 5
Entry from the Alexandria database: an optimized crystal structure of Zr12Ti3Nb5 (PBE).

```
data_Zr12Ti3Nb5
_chemical_formula_sum 'Zr96 Ti24 Nb40'
_cell_length_a 15.926
_cell_length_b 15.926
_cell_length_c 15.926
_cell_angle_alpha 90.00
_cell_angle_beta 90.00
_cell_angle_gamma 90.00
_symmetry_space_group_name_H-M 'I a -3 d'
_symmetry_Int_Tables_number 230
_symmetry_space_group_name_Hall '-I 4bd 2c 3'
loop_
_atom_site_label
_atom_site_fract_x
_atom_site_fract_y
_atom_site_fract_z
Zr1 0.023 0.082 0.646
Ti1 0.000 0.250 0.125
Nb1 0.000 0.000 0.000
Nb2 0.000 0.250 0.375
```

=====

No. 6
# Zr2TiNb PBE relaxed
# Polymorph energy (0 for the lowest one): 0.004 eV per atom
data_Zr2TiNb
_chemical_formula_sum 'Zr2 Ti1 Nb1'
_cell_length_a 4.881
_cell_length_b 4.881
_cell_length_c 3.386
_cell_angle_alpha 90.00
_cell_angle_beta 90.00
_cell_angle_gamma 90.00
_symmetry_space_group_name_H-M 'P 4/m m m'
_symmetry_Int_Tables_number 123
_symmetry_space_group_name_Hall '-P 4 2'
loop_
_atom_site_label
_atom_site_fract_x
_atom_site_fract_y
_atom_site_fract_z
Zr1 0.000 0.500 0.000
Ti1 0.000 0.000 0.500
Nb1 0.500 0.500 0.500

=====

No. 7
# ZrTiNb2 PBE relaxed
# Polymorph energy (0 for the lowest one): 0.093 eV per atom
data_ZrTiNb2
_chemical_formula_sum 'Zr1 Ti1 Nb2'
_cell_length_a 4.736
_cell_length_b 4.736
_cell_length_c 3.373
_cell_angle_alpha 90.00
_cell_angle_beta 90.00
_cell_angle_gamma 90.00
_symmetry_space_group_name_H-M 'P 4/m m m'
_symmetry_Int_Tables_number 123
_symmetry_space_group_name_Hall '-P 4 2'
loop_
_atom_site_label
_atom_site_fract_x
_atom_site_fract_y
_atom_site_fract_z
Zr1 0.000 0.000 0.000
Ti1 0.500 0.500 0.000
Nb1 0.000 0.500 0.500

=====

No. 8
# Zr2TiNb PBE relaxed
# Polymorph energy (0 for the lowest one): 0.031 eV per atom
data_Zr2TiNb
_chemical_formula_sum 'Zr4 Ti2 Nb2'
_cell_length_a 5.411
_cell_length_b 3.042
_cell_length_c 10.040
_cell_angle_alpha 90.00
_cell_angle_beta 97.00
_cell_angle_gamma 90.00
_symmetry_space_group_name_H-M 'C 1 m 1'
_symmetry_Int_Tables_number 8
_symmetry_space_group_name_Hall 'C -2y'
loop_
_atom_site_label
_atom_site_fract_x
_atom_site_fract_y
_atom_site_fract_z
Zr1 0.000 0.000 0.000
Zr2 0.129 0.000 0.490
Ti1 0.242 0.500 0.243
Nb1 0.202 0.500 0.743

=====

No. 9
Entry from the Alexandria database: an optimized crystal structure of ZrTi2Nb (PBE).

```
data_ZrTi2Nb
_chemical_formula_sum 'Zr2 Ti4 Nb2'
_cell_length_a 6.707
_cell_length_b 3.385
_cell_length_c 6.688
_cell_angle_alpha 90.00
_cell_angle_beta 90.00
_cell_angle_gamma 90.00
_symmetry_space_group_name_H-M 'P m m a'
_symmetry_Int_Tables_number 51
_symmetry_space_group_name_Hall '-P 2a 2a'
loop_
_atom_site_label
_atom_site_fract_x
_atom_site_fract_y
_atom_site_fract_z
Zr1 0.250 0.000 0.004
Ti1 0.025 0.500 0.717
Nb1 0.250 0.000 0.460
```

=====

No. 10
Entry from the Alexandria database: an optimized crystal structure of ZrTi2Nb (PBE).

```
data_ZrTi2Nb
_chemical_formula_sum 'Zr3 Ti6 Nb3'
_cell_length_a 3.0284
_cell_length_b 3.0284
_cell_length_c 29.1168
_cell_angle_alpha 90.00
_cell_angle_beta 90.00
_cell_angle_gamma 120.00
_symmetry_space_group_name_H-M 'R 3 m'
_symmetry_Int_Tables_number 160
_symmetry_space_group_name_Hall 'R 3 -2"'
loop_
_atom_site_label
_atom_site_fract_x
_atom_site_fract_y
_atom_site_fract_z
Zr1 0.0000 0.0000 0.0000
Ti1 0.0000 0.0000 0.2461
Ti2 0.0000 0.0000 0.4212
Nb1 0.0000 0.0000 0.8338
```

=====

No. 11
# ZrTiNb2 PBE relaxed
# Polymorph energy (0 for the lowest one): 0.062 eV per atom
data_ZrTiNb2
_chemical_formula_sum 'Zr1 Ti1 Nb2'
_cell_length_a 3.353
_cell_length_b 3.353
_cell_length_c 6.750
_cell_angle_alpha 90.00
_cell_angle_beta 90.00
_cell_angle_gamma 90.00
_symmetry_space_group_name_H-M 'P 4/m m m'
_symmetry_Int_Tables_number 123
_symmetry_space_group_name_Hall '-P 4 2'
loop_
_atom_site_label
_atom_site_fract_x
_atom_site_fract_y
_atom_site_fract_z
Zr1 0.000 0.000 0.000
Ti1 0.000 0.000 0.500
Nb1 0.500 0.500 0.274

=====

No. 12
# ZrTiNb2 PBE relaxed
# Polymorph energy (0 for the lowest one): 0.086 eV per atom
data_ZrTiNb2
_chemical_formula_sum 'Zr4 Ti4 Nb8'
_cell_length_a 6.712
_cell_length_b 6.712
_cell_length_c 6.712
_cell_angle_alpha 90.00
_cell_angle_beta 90.00
_cell_angle_gamma 90.00
_symmetry_space_group_name_H-M 'F m -3 m'
_symmetry_Int_Tables_number 225
_symmetry_space_group_name_Hall '-F 4 2 3'
loop_
_atom_site_label
_atom_site_fract_x
_atom_site_fract_y
_atom_site_fract_z
Zr1 0.000 0.000 0.000
Ti1 0.000 0.000 0.500
Nb1 0.250 0.250 0.250

=====

No. 13
# Zr2TiNb PBE relaxed
# Polymorph energy (0 for the lowest one): 0.017 eV per atom
data_Zr2TiNb
_chemical_formula_sum 'Zr2 Ti1 Nb1'
_cell_length_a 2.999
_cell_length_b 4.756
_cell_length_c 5.799
_cell_angle_alpha 90.00
_cell_angle_beta 102.03
_cell_angle_gamma 90.00
_symmetry_space_group_name_H-M 'P 1 2/m 1'
_symmetry_Int_Tables_number 10
_symmetry_space_group_name_Hall '-P 2y'
loop_
_atom_site_label
_atom_site_fract_x
_atom_site_fract_y
_atom_site_fract_z
Zr1 0.189 0.000 0.255
Ti1 0.500 0.500 0.000
Nb1 0.000 0.500 0.500

=====

No. 14
# Zr2TiNb PBE relaxed
# Polymorph energy (0 for the lowest one): 0.017 eV per atom
data_Zr2TiNb
_chemical_formula_sum 'Zr4 Ti2 Nb2'
_cell_length_a 8.205
_cell_length_b 4.744
_cell_length_c 5.029
_cell_angle_alpha 90.00
_cell_angle_beta 122.99
_cell_angle_gamma 90.00
_symmetry_space_group_name_H-M 'C 1 m 1'
_symmetry_Int_Tables_number 8
_symmetry_space_group_name_Hall 'C -2y'
loop_
_atom_site_label
_atom_site_fract_x
_atom_site_fract_y
_atom_site_fract_z
Zr1 0.000 0.000 0.000
Zr2 0.231 0.000 0.692
Ti1 0.257 0.500 0.271
Nb1 0.473 0.000 0.420

=====

No. 15
# Zr2TiNb PBE relaxed
# Polymorph energy (0 for the lowest one): 0.409 eV per atom
data_Zr2TiNb
_chemical_formula_sum 'Zr8 Ti4 Nb4'
_cell_length_a 7.548
_cell_length_b 7.548
_cell_length_c 5.828
_cell_angle_alpha 90.00
_cell_angle_beta 90.00
_cell_angle_gamma 90.00
_symmetry_space_group_name_H-M 'I -4 2 d'
_symmetry_Int_Tables_number 122
_symmetry_space_group_name_Hall 'I -4 2bw'
loop_
_atom_site_label
_atom_site_fract_x
_atom_site_fract_y
_atom_site_fract_z
Zr1 0.247 0.250 0.125
Ti1 0.000 0.000 0.000
Nb1 0.000 0.000 0.500

=====

No. 16
Entry from the Alexandria database: an optimized crystal structure of ZrTi2Nb (PBE).

```
data_ZrTi2Nb
_chemical_formula_sum 'Zr3 Ti6 Nb3'
_cell_length_a 3.0108
_cell_length_b 3.0108
_cell_length_c 29.3033
_cell_angle_alpha 90.00
_cell_angle_beta 90.00
_cell_angle_gamma 120.00
_symmetry_space_group_name_H-M 'R -3 m'
_symmetry_Int_Tables_number 166
_symmetry_space_group_name_Hall '-R 3 2"'
loop_
_atom_site_label
_atom_site_fract_x
_atom_site_fract_y
_atom_site_fract_z
Zr1 0.0000 0.0000 0.0000
Ti1 0.0000 0.0000 0.2463
Nb1 0.0000 0.0000 0.5000
```

=====

No. 17
Entry from the Alexandria database: an optimized crystal structure of Zr6TiNb (PBE).

```
data_Zr6TiNb
_chemical_formula_sum 'Zr12 Ti2 Nb2'
_cell_length_a 4.898
_cell_length_b 4.898
_cell_length_c 14.413
_cell_angle_alpha 90.00
_cell_angle_beta 90.00
_cell_angle_gamma 90.00
_symmetry_space_group_name_H-M 'I 4/m m m'
_symmetry_Int_Tables_number 139
_symmetry_space_group_name_Hall '-I 4 2'
loop_
_atom_site_label
_atom_site_fract_x
_atom_site_fract_y
_atom_site_fract_z
Zr1 0.000 0.000 0.247
Zr2 0.000 0.500 0.114
Ti1 0.000 0.000 0.000
Nb1 0.000 0.000 0.500
```

=====

No. 18
# Zr2TiNb PBE relaxed
# Polymorph energy (0 for the lowest one): 0.003 eV per atom
data_Zr2TiNb
_chemical_formula_sum 'Zr2 Ti1 Nb1'
_cell_length_a 3.438
_cell_length_b 3.438
_cell_length_c 6.848
_cell_angle_alpha 90.00
_cell_angle_beta 90.00
_cell_angle_gamma 90.00
_symmetry_space_group_name_H-M 'P 4/m m m'
_symmetry_Int_Tables_number 123
_symmetry_space_group_name_Hall '-P 4 2'
loop_
_atom_site_label
_atom_site_fract_x
_atom_site_fract_y
_atom_site_fract_z
Zr1 0.000 0.000 0.245
Ti1 0.500 0.500 0.500
Nb1 0.500 0.500 0.000

=====

No. 19
# Zr2TiNb PBE relaxed
# Polymorph energy (0 for the lowest one): 0.086 eV per atom
data_Zr2TiNb
_chemical_formula_sum 'Zr6 Ti3 Nb3'
_cell_length_a 3.0735
_cell_length_b 3.0735
_cell_length_c 30.1767
_cell_angle_alpha 90.00
_cell_angle_beta 90.00
_cell_angle_gamma 120.00
_symmetry_space_group_name_H-M 'R -3 m'
_symmetry_Int_Tables_number 166
_symmetry_space_group_name_Hall '-R 3 2"'
loop_
_atom_site_label
_atom_site_fract_x
_atom_site_fract_y
_atom_site_fract_z
Zr1 0.0000 0.0000 0.2483
Ti1 0.0000 0.0000 0.5000
Nb1 0.0000 0.0000 0.0000

=====

No. 20
# ZrTiNb2 PBE relaxed
# Polymorph energy (0 for the lowest one): 0.135 eV per atom
data_ZrTiNb2
_chemical_formula_sum 'Zr4 Ti4 Nb8'
_cell_length_a 5.720
_cell_length_b 9.696
_cell_length_c 5.544
_cell_angle_alpha 90.00
_cell_angle_beta 90.00
_cell_angle_gamma 90.00
_symmetry_space_group_name_H-M 'I m m a'
_symmetry_Int_Tables_number 74
_symmetry_space_group_name_Hall '-I 2b 2'
loop_
_atom_site_label
_atom_site_fract_x
_atom_site_fract_y
_atom_site_fract_z
Zr1 0.000 0.250 0.250
Ti1 0.000 0.250 0.749
Nb1 0.250 0.000 0.000

=====

No. 21
# ZrTiNb2 PBE relaxed
# Polymorph energy (0 for the lowest one): 0.476 eV per atom
data_ZrTiNb2
_chemical_formula_sum 'Zr4 Ti4 Nb8'
_cell_length_a 7.431
_cell_length_b 7.431
_cell_length_c 5.691
_cell_angle_alpha 90.00
_cell_angle_beta 90.00
_cell_angle_gamma 90.00
_symmetry_space_group_name_H-M 'I -4 2 d'
_symmetry_Int_Tables_number 122
_symmetry_space_group_name_Hall 'I -4 2bw'
loop_
_atom_site_label
_atom_site_fract_x
_atom_site_fract_y
_atom_site_fract_z
Zr1 0.000 0.000 0.000
Ti1 0.000 0.000 0.500
Nb1 0.236 0.250 0.625

=====

No. 22
Entry from the Alexandria database: an optimized crystal structure of NbTl (PBE).

```
data_NbTl
_chemical_formula_sum 'Nb2 Tl2'
_cell_length_a 4.8314
_cell_length_b 4.8314
_cell_length_c 5.6328
_cell_angle_alpha 90.00
_cell_angle_beta 90.00
_cell_angle_gamma 120.00
_symmetry_space_group_name_H-M 'P 63/m m c'
_symmetry_Int_Tables_number 194
_symmetry_space_group_name_Hall '-P 6c 2c'
loop_
_atom_site_label
_atom_site_fract_x
_atom_site_fract_y
_atom_site_fract_z
Nb1 0.3333 0.6667 0.2500
Tl1 0.3333 0.6667 0.7500
```

=====

No. 23
Entry from the Alexandria database: an optimized crystal structure of NbTl (PBE).

```
data_NbTl
_chemical_formula_sum 'Nb8 Tl8'
_cell_length_a 10.882
_cell_length_b 10.882
_cell_length_c 3.304
_cell_angle_alpha 90.00
_cell_angle_beta 90.00
_cell_angle_gamma 90.00
_symmetry_space_group_name_H-M 'I 4/m'
_symmetry_Int_Tables_number 87
_symmetry_space_group_name_Hall '-I 4'
loop_
_atom_site_label
_atom_site_fract_x
_atom_site_fract_y
_atom_site_fract_z
Nb1 0.074 0.623 0.000
Tl1 0.120 0.173 0.000
```

=====

For each record above, in turn, the calculated E_form values are 44, 4, 2, 2, 126, 10, 11, 12, 3, 15, 8, 11, 11, 11, 49, 15, 7, 10, 18, 15, 48, 124, 33 kJ/mol of atoms.